# CeHfMoO6 | Alexandria | PBE+U | relaxed
data_CeHfMoO6
_symmetry_space_group_name_H-M 'P 42 n m'
_symmetry_Int_Tables_number 102
_symmetry_space_group_name_Hall 'P 4n -2n'
_cell_length_a 4.935
_cell_length_b 4.935
_cell_length_c 10.039
_cell_angle_alpha 90.00
_cell_angle_beta 90.00
_cell_angle_gamma 90.00
loop_
_atom_site_label
_atom_site_type_symbol
_atom_site_fract_x
_atom_site_fract_y
_atom_site_fract_z
Ce1 Ce 0.000 0.000 0.000
Hf1 Hf 0.000 0.000 0.336
Mo1 Mo 0.000 0.000 0.671
O1 O 0.183 0.183 0.503
O2 O 0.202 0.202 0.823
O3 O 0.205 0.205 0.182
# Total magnetization in μB/atom: 0.2222
# Crystal system: tetragonal
# E in eV per atom: -8.685